No. 1
RbAg2PdBr8: relaxed, GGA-PBE.

```
RbAg2PdBr8
1.0
6.553 0.127 0.201
0.133 6.076 0.970
0.319 1.525 9.936
Br Ag Rb Pd
8 2 1 1
direct
0.702 0.752 0.989
0.210 0.869 0.816
0.506 0.734 0.524
0.141 0.698 0.210
0.859 0.302 0.790
0.494 0.266 0.476
0.298 0.248 0.011
0.790 0.131 0.184
0.517 0.561 0.803
0.483 0.439 0.197
0.000 0.000 0.500
0.000 0.000 0.000
```

Properties
Crystal system: triclinic
Theoretical density in Mg/m³: 4.5
E_form (uncorrected) in eV/atom: -0.454
Space-group type: P-1

No. 2
Rb2Ag2PdBr6: relaxed, GGA-PBE.

```
Rb2Ag2PdBr6
1.0
8.107 0.000 0.000
4.054 7.021 0.000
4.054 2.340 6.611
Br Rb Ag Pd
6 2 2 1
direct
0.785 0.231 0.752
0.215 0.769 0.248
0.769 0.215 0.248
0.769 0.769 0.248
0.231 0.785 0.752
0.231 0.231 0.752
0.770 0.770 0.690
0.230 0.230 0.310
0.573 0.573 0.282
0.427 0.427 0.718
0.000 0.000 0.000
```

Properties
Crystal system: trigonal
Theoretical density in Mg/m³: 4.3
E_form (uncorrected) in eV/atom: -0.761
Space-group type: R-3m

No. 3
RbAgPdBr6: relaxed, GGA-PBE.

```
RbAgPdBr6
1.0
-7.127 -0.213 -0.578
-3.035 -3.024 -5.728
-0.089 -6.566 3.513
Br Pd Ag Rb
6 1 1 1
direct
0.355 0.036 0.696
0.036 0.609 0.696
0.608 0.036 0.304
0.355 0.609 0.304
0.036 0.355 0.304
0.608 0.355 0.696
0.333 0.333 0.500
0.667 0.667 0.500
0.000 0.000 0.000
```

Properties
Crystal system: trigonal
Theoretical density in Mg/m³: 3.9
E_form (uncorrected) in eV/atom: -0.565
Space-group type: P312

No. 4
AgSbPdBr2: relaxed, GGA-PBE.

```
AgSbPdBr2
1.0
5.662 0.000 0.000
0.000 5.252 0.000
0.000 0.000 5.662
Pd Ag Br Sb
1 1 2 1
direct
0.500 0.500 0.500
0.000 0.500 0.000
0.000 0.000 0.500
0.500 0.000 0.000
0.000 0.000 0.000
```

Properties
Crystal system: tetragonal
Theoretical density in Mg/m³: 4.9
E_form (uncorrected) in eV/atom: 0.450
Space-group type: P4/mmm

No. 5
AgPdSeBr2: relaxed, GGA-PBE.

```
AgPdSeBr2
1.0
-4.312 0.552 2.880
-2.149 -4.080 -2.435
1.882 -3.019 3.397
Br Ag Pd Se
2 1 1 1
direct
0.000 0.500 0.000
0.500 0.000 0.000
0.500 0.500 0.500
0.000 0.000 0.000
0.000 0.000 0.500
```

Properties
Crystal system: tetragonal
Theoretical density in Mg/m³: 5.6
E_form (uncorrected) in eV/atom: 0.163
Space-group type: P4/mmm

No. 6
Ag3Pd2Se2Br3: relaxed, GGA-PBE.

```
Ag3Pd2Se2Br3
1.0
-0.088 -3.336 -2.500
3.126 -1.707 2.168
-10.712 -3.574 8.623
Se Br Ag Pd
2 3 3 2
direct
0.199 0.199 0.398
0.801 0.801 0.602
0.398 0.398 0.797
0.000 0.000 0.000
0.602 0.602 0.203
0.102 0.102 0.204
0.898 0.898 0.796
0.500 0.500 0.000
0.750 0.250 0.500
0.250 0.750 0.500
```

Properties
Crystal system: tetragonal
Theoretical density in Mg/m³: 6.4
E_form (uncorrected) in eV/atom: -0.235
Space-group type: I4/mmm

No. 7
SrAgPdBr6: relaxed, GGA-PBE.

```
SrAgPdBr6
1.0
7.111 0.000 0.000
-3.555 6.158 0.000
0.000 0.000 12.411
Sr Br Ag Pd
2 12 2 2
direct
0.667 0.333 0.750
0.333 0.667 0.250
0.052 0.362 0.624
0.638 0.948 0.876
0.948 0.310 0.124
0.310 0.362 0.876
0.052 0.690 0.876
0.310 0.948 0.624
0.362 0.310 0.376
0.948 0.638 0.376
0.690 0.052 0.376
0.638 0.690 0.624
0.690 0.638 0.124
0.362 0.052 0.124
0.000 0.000 0.500
0.000 0.000 0.000
0.333 0.667 0.750
0.667 0.333 0.250
```

Properties
Crystal system: trigonal
Theoretical density in Mg/m³: 4.8
E_form (uncorrected) in eV/atom: -0.829
Space-group type: P-31c

No. 8
TiAg2PdBr: relaxed, GGA-PBE.

```
TiAg2PdBr
1.0
5.224 0.000 0.000
0.000 4.688 0.000
0.000 0.000 5.224
Pd Ti Ag Br
1 1 2 1
direct
0.000 0.500 0.000
0.000 0.000 0.000
0.500 0.000 0.000
0.000 0.000 0.500
0.500 0.500 0.500
```

Properties
Crystal system: tetragonal
Theoretical density in Mg/m³: 5.8
E_form (uncorrected) in eV/atom: 0.827
Space-group type: P4/mmm

No. 9
TlAg2PdBr6: relaxed, GGA-PBE.

```
TlAg2PdBr6
1.0
-2.765 3.859 5.979
1.162 -1.735 7.036
4.465 5.170 5.063
Ag Br Pd Tl
2 6 1 1
direct
0.533 0.506 0.376
0.994 0.073 0.950
0.167 0.408 0.758
0.555 0.219 0.249
0.925 0.536 0.264
0.367 0.702 0.822
0.726 0.124 0.790
0.261 0.950 0.224
0.323 0.322 0.027
0.811 0.822 0.555
```

Properties
Crystal system: triclinic
Theoretical density in Mg/m³: 5.5
E_form (uncorrected) in eV/atom: -0.366
Space-group type: P1

No. 10
TlAg2PdBr8: relaxed, GGA-PBE.

```
TlAg2PdBr8
1.0
7.125 -0.366 -0.005
-0.343 6.811 -0.008
0.006 0.011 8.011
Br Pd Ag Tl
8 1 2 1
direct
0.320 0.307 0.500
0.687 0.703 0.000
0.160 0.811 0.215
0.680 0.693 0.500
0.313 0.297 0.000
0.840 0.189 0.215
0.160 0.811 0.785
0.840 0.189 0.785
0.000 0.000 0.000
0.500 0.500 0.240
0.500 0.500 0.760
0.000 0.000 0.500
```

Properties
Crystal system: monoclinic
Theoretical density in Mg/m³: 5.0
E_form (uncorrected) in eV/atom: -0.326
Space-group type: P2/m

No. 11
Tl2AgPdBr5: relaxed, GGA-PBE.

```
Tl2AgPdBr5
1.0
4.623 0.000 0.000
-2.312 9.665 0.000
0.000 0.000 13.652
Tl Ag Br Pd
4 2 10 2
direct
0.896 0.792 0.208
0.135 0.270 0.327
0.865 0.730 0.827
0.104 0.208 0.708
0.582 0.164 0.942
0.418 0.836 0.442
0.484 0.967 0.804
0.654 0.308 0.513
0.909 0.817 0.555
0.693 0.386 0.817
0.307 0.614 0.317
0.273 0.547 0.611
0.727 0.453 0.111
0.516 0.033 0.304
0.346 0.692 0.013
0.091 0.183 0.055
0.221 0.441 0.046
0.779 0.559 0.546
```

Properties
Crystal system: orthorhombic
Theoretical density in Mg/m³: 5.6
E_form (uncorrected) in eV/atom: -0.513
Space-group type: Cmc2_1

No. 12
Tl3AgPd2Br9: relaxed, GGA-PBE.

```
Tl3AgPd2Br9
1.0
-1.218 0.132 -7.378
6.143 -3.287 2.717
-4.525 -7.957 0.604
Br Ag Tl Pd
9 1 3 2
direct
0.829 0.659 0.674
0.341 0.171 0.674
0.829 0.171 0.674
0.659 0.829 0.326
0.000 0.500 0.000
0.171 0.341 0.326
0.171 0.829 0.326
0.500 0.000 0.000
0.500 0.500 0.000
0.000 0.000 0.500
0.000 0.000 0.000
0.667 0.333 0.335
0.333 0.667 0.665
0.667 0.333 0.838
0.333 0.667 0.162
```

Properties
Crystal system: trigonal
Theoretical density in Mg/m³: 6.2
E_form (uncorrected) in eV/atom: -0.499
Space-group type: P-3m1

Number 1: V 32.12 Å³/atom. Number 2: V 34.21 Å³/atom. Number 3: V 36.66 Å³/atom. Number 4: V 33.67 Å³/atom. Number 5: V 26.76 Å³/atom. Number 6: V 24.16 Å³/atom. Number 7: V 30.19 Å³/atom. Number 8: V 25.59 Å³/atom. Number 9: V 30.56 Å³/atom. Number 10: V 32.31 Å³/atom. Number 11: V 33.89 Å³/atom. Number 12: V 29.63 Å³/atom.